Record 1
Here is a relaxed CuSb4Pt crystal from the Alexandria database. Energies are from PBE-GGA.

Computed properties:
formation energy from raw total energies = -0.193 eV/atom
excess energy over the best structure of this formula in the dataset = 0 meV per atom
raw total energy = -0.3403 Ry per atom
ρ = 8.894 Mg/m³

abc: 6.497 6.548 6.545
angles: 90.00 90.05 90.00
Fractional coordinates of all 12 atoms:
Cu (0.000, 0.000, 0.000)
Cu (0.000, 0.500, 0.500)
Sb (0.125, 0.132, 0.373)
Sb (0.125, 0.368, 0.873)
Sb (0.372, 0.626, 0.372)
Sb (0.372, 0.874, 0.872)
Sb (0.628, 0.126, 0.128)
Sb (0.628, 0.374, 0.628)
Sb (0.875, 0.632, 0.127)
Sb (0.875, 0.868, 0.627)
Pt (0.500, 0.000, 0.500)
Pt (0.500, 0.500, 0.000)

=====

Record 2
Here is a relaxed CuSbPt2 crystal from the Alexandria database. Energies are from PBE-GGA.

Computed properties:
formation energy from raw total energies = -0.169 eV/atom
raw total energy = -0.3854 Ry per atom
ρ = 14.264 Mg/m³

abc: 3.434 3.467 5.627
angles: 90.00 90.00 90.00
Fractional coordinates of all 4 atoms:
Cu (0.000, 0.000, 0.000)
Sb (0.000, 0.000, 0.500)
Pt (0.500, 0.500, 0.238)
Pt (0.500, 0.500, 0.762)

=====

Record 3
Here is a relaxed CuSb2Pt2 crystal from the Alexandria database. Energies are from PBE-GGA.

Computed properties:
formation energy from raw total energies = 0.016 eV/atom
excess energy over the best structure of this formula in the dataset = 108 meV per atom
raw total energy = -0.3578 Ry per atom
ρ = 10.803 Mg/m³

abc: 5.358 5.358 5.358
angles: 120.92 120.92 88.41
Fractional coordinates of all 5 atoms:
Cu (0.000, 0.000, 0.000)
Sb (0.250, 0.750, 0.500)
Sb (0.750, 0.250, 0.500)
Pt (0.330, 0.330, 0.000)
Pt (0.670, 0.670, 0.000)

=====

Record 4
Here is a relaxed Cu5SbPt8 crystal from the Alexandria database. Energies are from PBE-GGA.

Computed properties:
formation energy from raw total energies = -0.003 eV/atom
raw total energy = -0.3831 Ry per atom
ρ = 15.206 Mg/m³

abc: 6.573 6.573 6.573
angles: 110.48 110.48 107.48
Fractional coordinates of all 14 atoms:
Cu (0.000, 0.000, 0.000)
Cu (0.212, 0.297, 0.674)
Cu (0.463, 0.788, 0.085)
Cu (0.622, 0.537, 0.326)
Cu (0.703, 0.378, 0.915)
Sb (0.250, 0.750, 0.500)
Pt (0.152, 0.427, 0.070)
Pt (0.357, 0.082, 0.930)
Pt (0.426, 0.160, 0.399)
Pt (0.573, 0.643, 0.725)
Pt (0.761, 0.027, 0.601)
Pt (0.840, 0.239, 0.266)
Pt (0.918, 0.848, 0.275)
Pt (0.973, 0.574, 0.734)